Computed, not measured: Na2FeGeF8 after structural relaxation at the PBE with a Hubbard U level of DFT.

a b c (Å): 5.0113 5.0113 6.5690
angles (deg): 90.00 90.00 93.19
With the nearest neighbours (Å) after each atom.
Positions (direct):
Na 0.0000 0.0000 0.2482  6 F 2.23-2.40
Na 0.0000 0.0000 0.7518  6 F 2.23-2.40
Fe 0.5000 0.5000 0.0000  2 F 1.92
Ge 0.5000 0.5000 0.5000  6 F 1.82-1.85
F 0.2215 0.2215 0.0000  1 Fe 1.92
F 0.2361 0.2361 0.5000  1 Ge 1.82
F 0.3268 0.6732 0.2939  1 Ge 1.85
F 0.3268 0.6732 0.7061  1 Ge 1.85
F 0.6732 0.3268 0.2939  1 Ge 1.85
F 0.6732 0.3268 0.7061  1 Ge 1.85
F 0.7639 0.7639 0.5000  1 Ge 1.82
F 0.7785 0.7785 0.0000  1 Fe 1.92

volume	165	Å³/cell
space-group type	No. 65
total energy	-4.924	eV/atom